9
Lattice="-6.196 0.419 2.936 4.241 -5.147 1.648 1.507 2.162 2.872" Properties=species:S:1:pos:R:3 comment="FeSe2 PBE relaxed" e_form_raw_ev_per_atom=0.14 space_group="P-62m (189)" pbc="T T T"
Fe 0.762 -3.291 2.077
Fe -2.717 -1.436 2.507
Fe 0.754 1.081 1.436
Se -1.710 0.116 0.810
Se 1.170 -1.420 0.455
Se -1.416 -3.423 3.319
Se -3.114 1.342 3.269
Se 3.401 -2.132 2.465
Se 0.019 -0.696 3.159

---

3
Lattice="4.236 0.000 0.000 2.118 3.669 0.000 2.118 1.223 3.459" Properties=species:S:1:pos:R:3 comment="FeSiSe PBE relaxed" e_form_raw_ev_per_atom=0.68 space_group="F-43m (216)" pbc="T T T"
Fe 4.236 2.446 1.729
Se 6.354 3.669 2.594
Si 0.000 0.000 0.000

---

5
Lattice="-2.081 -3.494 2.431 4.235 -1.968 0.797 0.422 2.523 3.988" Properties=species:S:1:pos:R:3 comment="FeSiSe3 PBE relaxed" polymorph_energy_mev_per_atom=0 e_form_raw_ev_per_atom=0.50 space_group="Pm-3m (221)" pbc="T T T"
Si 1.288 -1.469 3.608
Fe 0.000 0.000 0.000
Se 2.118 -0.984 0.399
Se 0.211 1.262 1.994
Se -1.041 -1.747 1.215

---

5
Lattice="4.400 0.000 0.000 0.000 4.400 0.000 0.000 0.000 4.400" Properties=species:S:1:pos:R:3 comment="FeSi3Se PBE relaxed" polymorph_energy_mev_per_atom=0 e_form_raw_ev_per_atom=0.09 space_group="Pm-3m (221)" pbc="T T T"
Si 0.000 2.200 0.000
Si 0.000 0.000 2.200
Si 2.200 0.000 0.000
Fe 0.000 0.000 0.000
Se 2.200 2.200 2.200

---

3
Lattice="-1.795 2.637 0.245 -1.095 -2.790 1.120 2.095 1.003 4.547" Properties=species:S:1:pos:R:3 comment="FeSiSe PBE relaxed" e_form_raw_ev_per_atom=0.06 space_group="P3m1 (156)" pbc="T T T"
Fe 2.077 0.995 4.509
Se -0.919 1.136 1.932
Si 0.141 -0.277 4.018

---

5
Lattice="4.802 0.000 0.000 0.000 4.802 0.000 0.000 0.000 4.802" Properties=species:S:1:pos:R:3 comment="FeSiSe3 PBE relaxed" polymorph_energy_mev_per_atom=144 e_form_raw_ev_per_atom=0.65 space_group="Pm-3m (221)" pbc="T T T"
Si 0.000 0.000 0.000
Fe 2.401 2.401 2.401
Se 0.000 2.401 0.000
Se 0.000 0.000 2.401
Se 2.401 0.000 0.000

---

> What is the formula in the fifth record?

FeSiSe